This record from the Alexandria database describes a relaxed In3Ge5I12 crystal. The functional is PBE.

Results
Calculated volume ... 43.7 Å³/atom
Symmetry ... Ia-3d, No. 230
E_form (uncorrected) ... -0.215 eV per atom
Crystal system ... cubic

a = 16.559 Å, b = 16.559 Å, c = 16.559 Å
α = 109.47°, β = 109.47°, γ = 109.47°
Positions (direct):
1 In 0.125 0.250 0.375
2 In 0.125 0.375 0.750
3 In 0.250 0.375 0.125
4 In 0.250 0.875 0.625
5 In 0.375 0.125 0.250
6 In 0.375 0.750 0.125
7 In 0.625 0.250 0.875
8 In 0.625 0.875 0.750
9 In 0.750 0.125 0.375
10 In 0.750 0.625 0.875
11 In 0.875 0.625 0.250
12 In 0.875 0.750 0.625
13 Ge 0.000 0.000 0.000
14 Ge 0.000 0.000 0.500
15 Ge 0.000 0.500 0.000
16 Ge 0.000 0.500 0.500
17 Ge 0.125 0.750 0.875
18 Ge 0.125 0.875 0.250
19 Ge 0.250 0.125 0.875
20 Ge 0.250 0.625 0.375
21 Ge 0.375 0.250 0.625
22 Ge 0.375 0.625 0.750
23 Ge 0.500 0.000 0.000
24 Ge 0.500 0.000 0.500
25 Ge 0.500 0.500 0.000
26 Ge 0.500 0.500 0.500
27 Ge 0.625 0.375 0.250
28 Ge 0.625 0.750 0.375
29 Ge 0.750 0.375 0.625
30 Ge 0.750 0.875 0.125
31 Ge 0.875 0.125 0.750
32 Ge 0.875 0.250 0.125
33 I 0.027 0.202 0.116
34 I 0.027 0.324 0.911
35 I 0.086 0.702 0.676
36 I 0.086 0.884 0.411
37 I 0.089 0.616 0.414
38 I 0.089 0.973 0.676
39 I 0.116 0.027 0.202
40 I 0.116 0.589 0.914
41 I 0.176 0.202 0.586
42 I 0.176 0.473 0.589
43 I 0.202 0.116 0.027
44 I 0.202 0.586 0.176
45 I 0.298 0.324 0.914
46 I 0.298 0.473 0.384
47 I 0.324 0.911 0.027
48 I 0.324 0.914 0.298
49 I 0.384 0.298 0.473
50 I 0.384 0.586 0.911
51 I 0.411 0.086 0.884
52 I 0.411 0.824 0.527
53 I 0.414 0.089 0.616
54 I 0.414 0.824 0.798
55 I 0.473 0.384 0.298
56 I 0.473 0.589 0.176
57 I 0.527 0.411 0.824
58 I 0.527 0.616 0.702
59 I 0.586 0.176 0.202
60 I 0.586 0.911 0.384
61 I 0.589 0.176 0.473
62 I 0.589 0.914 0.116
63 I 0.616 0.414 0.089
64 I 0.616 0.702 0.527
65 I 0.676 0.086 0.702
66 I 0.676 0.089 0.973
67 I 0.702 0.527 0.616
68 I 0.702 0.676 0.086
69 I 0.798 0.414 0.824
70 I 0.798 0.884 0.973
71 I 0.824 0.527 0.411
72 I 0.824 0.798 0.414
73 I 0.884 0.411 0.086
74 I 0.884 0.973 0.798
75 I 0.911 0.027 0.324
76 I 0.911 0.384 0.586
77 I 0.914 0.116 0.589
78 I 0.914 0.298 0.324
79 I 0.973 0.676 0.089
80 I 0.973 0.798 0.884


This record from the Alexandria database describes a relaxed Ac4Sm5Er2 crystal. The functional is PBE.

Results
Formation energy from the elements ... 0.05 eV per atom
Calculated volume ... 36.9 Å³/atom
Symmetry ... C2/m, No. 12
Crystal system ... monoclinic

a = 9.887 Å, b = 9.887 Å, c = 8.271 Å
α = 103.96°, β = 103.96°, γ = 31.27°
Positions (direct):
1 Ac 0.043 0.043 0.229
2 Ac 0.318 0.318 0.592
3 Ac 0.682 0.682 0.408
4 Ac 0.957 0.957 0.771
5 Sm 0.138 0.138 0.692
6 Sm 0.226 0.226 0.125
7 Sm 0.500 0.500 0.500
8 Sm 0.774 0.774 0.875
9 Sm 0.862 0.862 0.308
10 Er 0.408 0.408 0.051
11 Er 0.592 0.592 0.949


This record from the Alexandria database describes a relaxed Sc2BiBr crystal. The functional is PBE.

Results
Calculated volume ... 24.0 Å³/atom
Symmetry ... Fm-3m, No. 225
E_form (uncorrected) ... -0.630 eV per atom
Crystal system ... cubic
Excess energy over the best structure of this formula in the dataset ... 0.04 eV/f.u.

a = 5.141 Å, b = 5.141 Å, c = 5.141 Å
α = 60.00°, β = 60.00°, γ = 60.00°
Positions (direct):
1 Sc 0.250 0.250 0.250
2 Sc 0.750 0.750 0.750
3 Bi 0.000 0.000 0.000
4 Br 0.500 0.500 0.500


This record from the Alexandria database describes a relaxed Ac4NiTeBr2 crystal. The functional is PBE.

Results
Calculated volume ... 34.9 Å³/atom
Symmetry ... P2/m, No. 10
E_form (uncorrected) ... -1.054 eV per atom
Crystal system ... monoclinic

a = 7.992 Å, b = 4.353 Å, c = 8.443 Å
α = 90.00°, β = 107.87°, γ = 90.00°
Positions (direct):
1 Ac 0.205 0.000 0.204
2 Ac 0.236 0.500 0.776
3 Ac 0.764 0.500 0.224
4 Ac 0.795 0.000 0.796
5 Ni 0.000 0.500 0.000
6 Te 0.000 0.000 0.500
7 Br 0.500 0.000 0.000
8 Br 0.500 0.500 0.500